# Li3Mn3TeO8

Li3Mn3TeO8 after structural relaxation (GGA+U, the Alexandria database).

Computed properties:
- V (Å³ per atom) = 11.383
- polymorph energy (0 for the lowest one) (eV per formula unit) = 0.000
- space-group type = No. 15

Lattice parameters (Å, degrees): 6.1225 6.1225 10.8498 106.15 106.15 62.62
Last column: nearest neighbours and their distance in Å.
Element x y z (fractional)
Li (0.0000, 0.5000, 0.0000)  6 O 2.20-2.23
Li (0.2131, 0.2676, 0.2333)  4 O 2.07-2.18
Li (0.2676, 0.2131, 0.7333)  4 O 2.07-2.18
Li (0.5000, 0.0000, 0.5000)  6 O 2.20-2.23
Li (0.7324, 0.7869, 0.2667)  4 O 2.07-2.18
Li (0.7869, 0.7324, 0.7667)  4 O 2.07-2.18
Mn (0.0000, 0.0000, 0.0000)  4 O 1.93-2.13
Mn (0.0000, 0.0000, 0.5000)  4 O 1.93-2.13
Mn (0.2541, 0.7459, 0.7500)  6 O 2.15-2.29
Mn (0.5000, 0.5000, 0.0000)  6 O 2.18-2.32
Mn (0.5000, 0.5000, 0.5000)  6 O 2.18-2.32
Mn (0.7459, 0.2541, 0.2500)  6 O 2.15-2.29
Te (0.2482, 0.7518, 0.2500)  6 O 1.95-1.97
Te (0.7518, 0.2482, 0.7500)  6 O 1.95-1.97
O (0.0792, 0.1401, 0.8663)  1 Te 1.97, 1 Mn 2.13, 1 Li 2.20
O (0.1237, 0.6733, 0.8925)  2 Mn 1.93-2.15, 1 Li 2.07
O (0.1258, 0.6357, 0.3560)  1 Te 1.95, 2 Li 2.18
O (0.1401, 0.0792, 0.3663)  1 Te 1.97, 1 Mn 2.13, 1 Li 2.20
O (0.3267, 0.8763, 0.6075)  2 Mn 1.93-2.15, 1 Li 2.07
O (0.3546, 0.4197, 0.1409)  1 Te 1.96, 1 Li 2.09
O (0.3643, 0.8742, 0.1440)  1 Te 1.95, 2 Li 2.18
O (0.4197, 0.3546, 0.6409)  1 Te 1.96, 1 Li 2.09
O (0.5803, 0.6454, 0.3591)  1 Te 1.96, 1 Li 2.09
O (0.6357, 0.1258, 0.8560)  1 Te 1.95, 2 Li 2.18
O (0.6454, 0.5803, 0.8591)  1 Te 1.96, 1 Li 2.09
O (0.6733, 0.1237, 0.3925)  2 Mn 1.93-2.15, 1 Li 2.07
O (0.8599, 0.9208, 0.6337)  1 Te 1.97, 1 Mn 2.13, 1 Li 2.20
O (0.8742, 0.3643, 0.6440)  1 Te 1.95, 2 Li 2.18
O (0.8763, 0.3267, 0.1075)  2 Mn 1.93-2.15, 1 Li 2.07
O (0.9208, 0.8599, 0.1337)  1 Te 1.97, 1 Mn 2.13, 1 Li 2.20